No. 1
Computed, not measured: a relaxed structure of TbMnCr2N4 at the PBE level of DFT.

Cell and atoms, written as extended XYZ:
```
16
Lattice="1.553 -5.273 0.000 1.553 5.273 0.000 0.000 0.000 10.119" Properties=species:S:1:pos:R:3 pbc="T T T"
Tb 1.553 4.108 7.589
Tb 1.553 -4.108 2.530
Mn 1.553 3.662 2.530
Mn 1.553 -3.662 7.589
Cr 1.553 1.370 5.555
Cr 1.553 1.370 9.623
Cr 1.553 -1.370 0.496
Cr 1.553 -1.370 4.564
N 0.000 0.000 0.000
N 0.000 0.000 5.059
N 1.553 2.516 1.117
N 1.553 2.516 3.943
N 1.553 0.585 7.589
N 1.553 -0.585 2.530
N 1.553 -2.516 6.176
N 1.553 -2.516 9.002
```

## Properties
**DOS(E_F)**: 0.609 states/eV per atom
**Formation energy (no corrections)**: -54.2 kJ/mol of atoms
**Crystal system**: orthorhombic
**Electronic total energy**: -0.6508 Ry/atom
**M_tot**: 3.36 μB per formula unit

=====

No. 2
Computed, not measured: a relaxed structure of NbPPdCl2 at the PBE level of DFT.

Cell and atoms, written as extended XYZ:
```
5
Lattice="4.689 0.000 0.000 0.000 4.689 0.000 0.000 0.000 4.877" Properties=species:S:1:pos:R:3 pbc="T T T"
Nb 0.000 0.000 0.000
P 2.344 2.344 0.000
Pd 2.344 2.344 2.439
Cl 0.000 2.344 2.439
Cl 2.344 0.000 2.439
```

## Properties
**DOS(E_F)**: 0.963 states/eV per atom
**Formation energy (no corrections)**: 58.0 kJ/mol of atoms
**Crystal system**: tetragonal
**Excess energy over the best structure of this formula in the dataset**: 0.506 eV per atom
**Electronic total energy**: -0.3140 Ry/atom
**M_tot**: 2.18 μB per formula unit

=====

No. 3
Computed, not measured: a relaxed structure of Ce6In2C at the PBE level of DFT.

Cell and atoms, written as extended XYZ:
```
9
Lattice="0.000 4.890 4.890 4.890 0.000 4.890 4.890 4.890 0.000" Properties=species:S:1:pos:R:3 pbc="T T T"
Ce 4.890 4.890 2.433
Ce 4.890 2.433 4.890
Ce 7.346 4.890 4.890
Ce 2.433 4.890 4.890
Ce 4.890 7.346 4.890
Ce 4.890 4.890 7.346
In 2.445 2.445 2.445
In 7.334 7.334 7.334
C 4.890 4.890 4.890
```

## Properties
**DOS(E_F)**: 2.739 states/eV per atom
**Crystal system**: cubic
**ΔE_f**: -0.26 eV/atom
**Electronic total energy**: -0.4299 Ry/atom
**M_tot**: 5.15 μB per formula unit

=====

No. 4
Computed, not measured: a relaxed structure of Ho3Er3Tm2 at the PBE level of DFT.

Cell and atoms, written as extended XYZ:
```
8
Lattice="-2.474 2.474 9.907 2.474 -2.474 9.907 2.474 2.474 -9.907" Properties=species:S:1:pos:R:3 pbc="T T T"
Ho 0.000 0.000 0.000
Ho 2.474 0.000 2.483
Ho 0.000 2.474 7.423
Er 2.474 0.000 7.421
Er 0.000 0.000 9.907
Er 0.000 2.474 2.486
Tm 0.000 0.000 4.952
Tm 0.000 0.000 14.861
```

## Properties
**DOS(E_F)**: 1.377 states/eV per atom
**Crystal system**: orthorhombic
**ΔE_f**: 0.02 eV/atom
**Excess energy over the best structure of this formula in the dataset**: 0.000 eV per atom
**Electronic total energy**: -0.3324 Ry/atom
**M_tot**: 0.00 μB per formula unit